LiRe2 | GGA-PBE | relaxed

The value obtained for the energy above the lowest structure with this stoichiometry is 0.1704 eV/atom. The energy of formation from the pure elements comes out at 267 meV per atom.

abc: 2.704 15.368 4.390
angles: 90.00 90.00 90.00
Atoms (fractional coordinates):
Li 0.000 0.222 0.250
Li 0.000 0.778 0.750
Li 0.500 0.278 0.750
Li 0.500 0.722 0.250
Re 0.000 0.104 0.750
Re 0.000 0.446 0.750
Re 0.000 0.554 0.250
Re 0.000 0.896 0.250
Re 0.500 0.054 0.250
Re 0.500 0.396 0.250
Re 0.500 0.604 0.750
Re 0.500 0.946 0.750

---

Ag2P2Cl | GGA-PBE | relaxed

For the uncorrected formation energy, the calculation gives 0.144 eV per atom.

abc: 3.432 3.432 15.828
angles: 90.00 90.00 90.00
Atoms (fractional coordinates):
Ag 0.000 0.000 0.105
Ag 0.000 0.000 0.895
Ag 0.500 0.500 0.395
Ag 0.500 0.500 0.605
P 0.000 0.500 0.250
P 0.000 0.500 0.750
P 0.500 0.000 0.250
P 0.500 0.000 0.750
Cl 0.000 0.000 0.500
Cl 0.500 0.500 0.000

---

Which energy belongs to each record? In order, -8.670 -3.530 eV per atom.